! PBE with a Hubbard U VP2O6, optimized geometry; values from VASP
! VASP energy ... -67.02 eV/f.u.
! SG ... No. 15
! Magnetic moment ... 6.00 Bohr magnetons per cell
&SYSTEM
  ibrav = 0, nat = 18, ntyp = 3
/
ATOMIC_SPECIES
P 30.97 P.upf
O 16.00 O.upf
V 50.94 V.upf
ATOMIC_POSITIONS crystal
P 0.263 0.624 0.800
P 0.763 0.800 0.624
P 0.737 0.376 0.200
P 0.237 0.200 0.376
O 0.198 0.114 0.587
O 0.828 0.202 0.058
O 0.672 0.942 0.798
O 0.172 0.798 0.942
O 0.545 0.651 0.647
O 0.302 0.413 0.886
O 0.045 0.647 0.651
O 0.328 0.058 0.202
O 0.698 0.587 0.114
O 0.955 0.353 0.349
O 0.802 0.886 0.413
O 0.455 0.349 0.353
V 0.750 0.891 0.109
V 0.250 0.109 0.891
CELL_PARAMETERS angstrom
4.801 -0.162 1.561
1.534 6.577 0.658
-0.665 0.080 6.752